1.
# NaLa2ReMo | Alexandria via LeMat-Bulk | PBE-GGA | optimized geometry
# crystal system: tetragonal
# E_form: 10.31 eV/f.u.
data_NaLa2ReMo
_cell_length_a 5.3585
_cell_length_b 5.3585
_cell_length_c 4.6697
_cell_angle_alpha 90.00
_cell_angle_beta 90.00
_cell_angle_gamma 90.00
_symmetry_space_group_name_H-M 'P 4/m m m'
_symmetry_Int_Tables_number 123
_symmetry_space_group_name_Hall '-P 4 2'
loop_
_atom_site_label
_atom_site_type_symbol
_atom_site_fract_x
_atom_site_fract_y
_atom_site_fract_z
Na1 Na 0.0000 0.0000 0.0000
La1 La 0.0000 0.5000 0.0000
Re1 Re 0.0000 0.0000 0.5000
Mo1 Mo 0.5000 0.5000 0.5000


2.
# NaLaRe2Mo | Alexandria via LeMat-Bulk | PBE-GGA | optimized geometry
# crystal system: tetragonal
# E_form: 6.85 eV/f.u.
data_NaLaRe2Mo
_cell_length_a 4.8183
_cell_length_b 4.8183
_cell_length_c 5.4600
_cell_angle_alpha 90.00
_cell_angle_beta 90.00
_cell_angle_gamma 90.00
_symmetry_space_group_name_H-M 'P 4/m m m'
_symmetry_Int_Tables_number 123
_symmetry_space_group_name_Hall '-P 4 2'
loop_
_atom_site_label
_atom_site_type_symbol
_atom_site_fract_x
_atom_site_fract_y
_atom_site_fract_z
Na1 Na 0.0000 0.0000 0.0000
La1 La 0.5000 0.5000 0.0000
Re1 Re 0.0000 0.5000 0.5000
Mo1 Mo 0.5000 0.5000 0.5000


3.
# NaLa2TaMo | Alexandria via LeMat-Bulk | PBE-GGA | optimized geometry
# crystal system: tetragonal
# E_form: 9.74 eV/f.u.
data_NaLa2TaMo
_cell_length_a 5.4617
_cell_length_b 5.4617
_cell_length_c 4.9409
_cell_angle_alpha 90.00
_cell_angle_beta 90.00
_cell_angle_gamma 90.00
_symmetry_space_group_name_H-M 'P 4/m m m'
_symmetry_Int_Tables_number 123
_symmetry_space_group_name_Hall '-P 4 2'
loop_
_atom_site_label
_atom_site_type_symbol
_atom_site_fract_x
_atom_site_fract_y
_atom_site_fract_z
Na1 Na 0.0000 0.0000 0.0000
La1 La 0.0000 0.5000 0.0000
Ta1 Ta 0.0000 0.0000 0.5000
Mo1 Mo 0.5000 0.5000 0.5000


4.
# Na2LaTeMo | Alexandria via LeMat-Bulk | PBE-GGA | optimized geometry
# formation energy from raw total energies: 1.03 eV/atom
# crystal system: tetragonal
data_Na2LaTeMo
_cell_length_a 6.0062
_cell_length_b 6.0062
_cell_length_c 4.7939
_cell_angle_alpha 90.00
_cell_angle_beta 90.00
_cell_angle_gamma 90.00
_symmetry_space_group_name_H-M 'P 4/m m m'
_symmetry_Int_Tables_number 123
_symmetry_space_group_name_Hall '-P 4 2'
loop_
_atom_site_label
_atom_site_type_symbol
_atom_site_fract_x
_atom_site_fract_y
_atom_site_fract_z
Na1 Na 0.0000 0.5000 0.0000
La1 La 0.0000 0.0000 0.0000
Te1 Te 0.5000 0.5000 0.5000
Mo1 Mo 0.0000 0.0000 0.5000


5.
# Na2LaTiMo | Alexandria via LeMat-Bulk | PBE-GGA | optimized geometry
# crystal system: tetragonal
# E_form: 8.09 eV/f.u.
data_Na2LaTiMo
_cell_length_a 5.6303
_cell_length_b 5.6303
_cell_length_c 4.8460
_cell_angle_alpha 90.00
_cell_angle_beta 90.00
_cell_angle_gamma 90.00
_symmetry_space_group_name_H-M 'P 4/m m m'
_symmetry_Int_Tables_number 123
_symmetry_space_group_name_Hall '-P 4 2'
loop_
_atom_site_label
_atom_site_type_symbol
_atom_site_fract_x
_atom_site_fract_y
_atom_site_fract_z
Na1 Na 0.0000 0.5000 0.0000
La1 La 0.0000 0.0000 0.0000
Ti1 Ti 0.5000 0.5000 0.5000
Mo1 Mo 0.0000 0.0000 0.5000


6.
# NaLaY2Mo | Alexandria via LeMat-Bulk | PBE-GGA | optimized geometry
# crystal system: tetragonal
# E_form: 1.83 eV/f.u.
data_NaLaY2Mo
_cell_length_a 5.6120
_cell_length_b 5.6120
_cell_length_c 5.4265
_cell_angle_alpha 90.00
_cell_angle_beta 90.00
_cell_angle_gamma 90.00
_symmetry_space_group_name_H-M 'P 4/m m m'
_symmetry_Int_Tables_number 123
_symmetry_space_group_name_Hall '-P 4 2'
loop_
_atom_site_label
_atom_site_type_symbol
_atom_site_fract_x
_atom_site_fract_y
_atom_site_fract_z
Na1 Na 0.0000 0.0000 0.0000
La1 La 0.5000 0.5000 0.0000
Y1 Y 0.0000 0.5000 0.5000
Mo1 Mo 0.5000 0.5000 0.5000


7.
# LaNb2Mo | Alexandria via LeMat-Bulk | PBE-GGA | optimized geometry
# crystal system: tetragonal
# E_form: 4.38 eV/f.u.
# excess energy over the best structure of this formula in the dataset: 689 meV/atom
data_LaNb2Mo
_cell_length_a 4.7098
_cell_length_b 4.7098
_cell_length_c 18.7948
_cell_angle_alpha 90.00
_cell_angle_beta 90.00
_cell_angle_gamma 90.00
_symmetry_space_group_name_H-M 'I -4 2 d'
_symmetry_Int_Tables_number 122
_symmetry_space_group_name_Hall 'I -4 2bw'
loop_
_atom_site_label
_atom_site_type_symbol
_atom_site_fract_x
_atom_site_fract_y
_atom_site_fract_z
La1 La 0.0000 0.0000 0.0000
Nb1 Nb 0.0903 0.2500 0.6250
Mo1 Mo 0.0000 0.0000 0.5000


8.
# La2Nb2Mo | Alexandria via LeMat-Bulk | PBE-GGA | optimized geometry
# crystal system: tetragonal
# E_form: 1.90 eV/f.u.
data_La2Nb2Mo
_cell_length_a 6.7518
_cell_length_b 6.7518
_cell_length_c 5.4476
_cell_angle_alpha 90.00
_cell_angle_beta 90.00
_cell_angle_gamma 90.00
_symmetry_space_group_name_H-M 'P 4/m b m'
_symmetry_Int_Tables_number 127
_symmetry_space_group_name_Hall '-P 4 2ab'
loop_
_atom_site_label
_atom_site_type_symbol
_atom_site_fract_x
_atom_site_fract_y
_atom_site_fract_z
La1 La 0.1713 0.3287 0.0000
Nb1 Nb 0.1462 0.6462 0.5000
Mo1 Mo 0.0000 0.0000 0.5000


Please write out number 4 again, unchanged.
# Na2LaTeMo | Alexandria via LeMat-Bulk | PBE-GGA | optimized geometry
# formation energy from raw total energies: 1.03 eV/atom
# crystal system: tetragonal
data_Na2LaTeMo
_cell_length_a 6.0062
_cell_length_b 6.0062
_cell_length_c 4.7939
_cell_angle_alpha 90.00
_cell_angle_beta 90.00
_cell_angle_gamma 90.00
_symmetry_space_group_name_H-M 'P 4/m m m'
_symmetry_Int_Tables_number 123
_symmetry_space_group_name_Hall '-P 4 2'
loop_
_atom_site_label
_atom_site_type_symbol
_atom_site_fract_x
_atom_site_fract_y
_atom_site_fract_z
Na1 Na 0.0000 0.5000 0.0000
La1 La 0.0000 0.0000 0.0000
Te1 Te 0.5000 0.5000 0.5000
Mo1 Mo 0.0000 0.0000 0.5000